Record 1
# Nd3AgSn2

Crystalline Nd3AgSn2 at its relaxed geometry (PBE-GGA, Alexandria via LeMat-Bulk).

abc: 12.6229 4.7142 11.8547
angles: 90.00 90.00 90.00
Fractional positions:
Nd1 0.0454 0.2500 0.1315
Nd2 0.1379 0.7500 0.5707
Nd3 0.2193 0.2500 0.8067
Nd4 0.2807 0.7500 0.3067
Nd5 0.3621 0.2500 0.0707
Nd6 0.4546 0.7500 0.6315
Nd7 0.5454 0.2500 0.3685
Nd8 0.6379 0.7500 0.9293
Nd9 0.7193 0.2500 0.6933
Nd10 0.7807 0.7500 0.1933
Nd11 0.8621 0.2500 0.4293
Nd12 0.9546 0.7500 0.8685
Ag1 0.1224 0.2500 0.3873
Ag2 0.3776 0.7500 0.8873
Ag3 0.6224 0.2500 0.1127
Ag4 0.8776 0.7500 0.6127
Sn1 0.0072 0.7500 0.3213
Sn2 0.1809 0.7500 0.0118
Sn3 0.3191 0.2500 0.5118
Sn4 0.4928 0.2500 0.8213
Sn5 0.5072 0.7500 0.1787
Sn6 0.6809 0.7500 0.4882
Sn7 0.8191 0.2500 0.9882
Sn8 0.9928 0.2500 0.6787

Computed properties:
Formation energy from the elements (meV/atom): -612
Polymorph energy (0 for the lowest one) (kJ per mole of atoms): 0.0
Raw total energy (eV per atom): -4.806



Record 2
# Nd4Ag2Sn

Crystalline Nd4Ag2Sn at its relaxed geometry (PBE-GGA, Alexandria via LeMat-Bulk).

abc: 7.4938 7.4952 8.4684
angles: 106.28 106.28 102.91
Fractional positions:
Nd1 0.0000 0.0000 0.0000
Nd2 0.0270 0.4699 0.9451
Nd3 0.1565 0.3392 0.4447
Nd4 0.3881 0.1828 0.7976
Nd5 0.4709 0.8599 0.0778
Nd6 0.5462 0.7832 0.5774
Nd7 0.6875 0.3132 0.5005
Nd8 0.8702 0.7012 0.2981
Ag1 0.2755 0.9514 0.3504
Ag2 0.6384 0.5884 0.8507
Ag3 0.7542 0.2512 0.1224
Ag4 0.9378 0.0669 0.6227
Sn1 0.1011 0.7214 0.6906
Sn2 0.4086 0.4131 0.1904

Computed properties:
Formation energy from the elements (meV/atom): -305
Polymorph energy (0 for the lowest one) (kJ per mole of atoms): 0.0
Raw total energy (eV per atom): -4.416